Entry one
# ScNb2Cu

A relaxed ScNb2Cu crystal (PBE, the Alexandria database).

The structure in CIF format:
```
data_ScNb2Cu
_chemical_formula_sum 'Sc4 Nb8 Cu4'
_symmetry_space_group_name_H-M 'I -4 2 d'
_symmetry_Int_Tables_number 122
_symmetry_space_group_name_Hall 'I -4 2bw'
_cell_length_a 3.825
_cell_length_b 3.825
_cell_length_c 20.574
_cell_angle_alpha 90.00
_cell_angle_beta 90.00
_cell_angle_gamma 90.00
loop_
_atom_site_label
_atom_site_fract_x
_atom_site_fract_y
_atom_site_fract_z
_atom_site_occupancy
Sc1 0.000 0.000 0.000 1
Nb1 0.247 0.250 0.625 1
Cu1 0.000 0.000 0.500 1
```

Properties
mass density	6.49	g/cm3


Entry two
# ScNb2Cu

A relaxed ScNb2Cu crystal (PBE, the Alexandria database).

The structure in CIF format:
```
data_ScNb2Cu
_chemical_formula_sum 'Sc4 Nb8 Cu4'
_symmetry_space_group_name_H-M 'F m -3 m'
_symmetry_Int_Tables_number 225
_symmetry_space_group_name_Hall '-F 4 2 3'
_cell_length_a 6.524
_cell_length_b 6.524
_cell_length_c 6.524
_cell_angle_alpha 90.00
_cell_angle_beta 90.00
_cell_angle_gamma 90.00
loop_
_atom_site_label
_atom_site_fract_x
_atom_site_fract_y
_atom_site_fract_z
_atom_site_occupancy
Sc1 0.000 0.000 0.000 1
Nb1 0.250 0.250 0.250 1
Cu1 0.000 0.000 0.500 1
```

Properties
mass density	7.04	g/cm3


Which is most stable? The ranking, best first, is entry two, entry one.


Entry one
# Sc2NbCu2

A relaxed Sc2NbCu2 crystal (PBE, the Alexandria database).

The structure in CIF format:
```
data_Sc2NbCu2
_chemical_formula_sum 'Sc4 Nb2 Cu4'
_symmetry_space_group_name_H-M 'P 4/m b m'
_symmetry_Int_Tables_number 127
_symmetry_space_group_name_Hall '-P 4 2ab'
_cell_length_a 7.596
_cell_length_b 7.596
_cell_length_c 3.022
_cell_angle_alpha 90.00
_cell_angle_beta 90.00
_cell_angle_gamma 90.00
loop_
_atom_site_label
_atom_site_fract_x
_atom_site_fract_y
_atom_site_fract_z
_atom_site_occupancy
Sc1 0.156 0.344 0.000 1
Nb1 0.000 0.000 0.000 1
Cu1 0.140 0.640 0.500 1
```

Properties
mass density	5.90	g/cm3


Entry two
# Sc2NbCu2

A relaxed Sc2NbCu2 crystal (PBE, the Alexandria database).

The structure in CIF format:
```
data_Sc2NbCu2
_chemical_formula_sum 'Sc4 Nb2 Cu4'
_symmetry_space_group_name_H-M 'P 4/m b m'
_symmetry_Int_Tables_number 127
_symmetry_space_group_name_Hall '-P 4 2ab'
_cell_length_a 7.508
_cell_length_b 7.508
_cell_length_c 3.131
_cell_angle_alpha 90.00
_cell_angle_beta 90.00
_cell_angle_gamma 90.00
loop_
_atom_site_label
_atom_site_fract_x
_atom_site_fract_y
_atom_site_fract_z
_atom_site_occupancy
Sc1 0.173 0.327 0.000 1
Nb1 0.000 0.000 0.500 1
Cu1 0.122 0.622 0.500 1
```

Properties
mass density	5.83	g/cm3


Which is most stable? The ranking, best first, is entry two, entry one.


Entry one
# NbCuSe3

A relaxed NbCuSe3 crystal (PBE, the Alexandria database).

The structure in CIF format:
```
data_NbCuSe3
_chemical_formula_sum 'Nb4 Cu4 Se12'
_symmetry_space_group_name_H-M 'C 1 2/m 1'
_symmetry_Int_Tables_number 12
_cell_length_a 15.886
_cell_length_b 3.825
_cell_length_c 7.356
_cell_angle_alpha 90.00
_cell_angle_beta 94.97
_cell_angle_gamma 90.00
loop_
_symmetry_equiv_pos_as_xyz
'x,y,z'
'-x,-y,-z'
'-x,y,-z'
'x,-y,z'
'x+1/2,y+1/2,z'
'-x+1/2,-y+1/2,-z'
'-x+1/2,y+1/2,-z'
'x+1/2,-y+1/2,z'
loop_
_atom_site_label
_atom_site_fract_x
_atom_site_fract_y
_atom_site_fract_z
_atom_site_occupancy
Nb1 0.201 0.000 0.246 1
Cu1 0.027 0.500 0.841 1
Se1 0.046 0.000 0.283 1
Se2 0.166 0.500 0.988 1
Se3 0.198 0.000 0.619 1
```

Properties
mass density	5.87	g/cm3


Entry two
# NbCuSe3

A relaxed NbCuSe3 crystal (PBE, the Alexandria database).

The structure in CIF format:
```
data_NbCuSe3
_chemical_formula_sum 'Nb1 Cu1 Se3'
_symmetry_space_group_name_H-M 'P m -3 m'
_symmetry_Int_Tables_number 221
_symmetry_space_group_name_Hall '-P 4 2 3'
_cell_length_a 5.043
_cell_length_b 5.043
_cell_length_c 5.043
_cell_angle_alpha 90.00
_cell_angle_beta 90.00
_cell_angle_gamma 90.00
loop_
_atom_site_label
_atom_site_fract_x
_atom_site_fract_y
_atom_site_fract_z
_atom_site_occupancy
Nb1 0.000 0.000 0.000 1
Cu1 0.500 0.500 0.500 1
Se1 0.000 0.000 0.500 1
```

Properties
mass density	5.09	g/cm3


Which is most stable? The ranking, best first, is entry one, entry two.